Entry 1:
Compound: SmIn4Pd2
Source: Alexandria via LeMat-Bulk
Functional: GGA-PBE
Structure: optimized geometry

Values from the calculation:
* VASP energy: -57.35 eV for the cell shown
* formation energy: -2.616 eV/f.u.
* V: 23.303 Å³ per atom
* energy above the lowest structure with this stoichiometry: 0.187 eV/atom

POSCAR file:
```
SmIn4Pd2
1.0
4.553 0.000 0.000
0.000 17.656 0.000
0.000 0.000 4.058
Sm In Pd
2 8 4
Direct
0.000 0.000 0.000
0.500 0.500 0.000
0.000 0.164 0.500
0.000 0.315 0.000
0.000 0.685 0.000
0.000 0.836 0.500
0.500 0.185 0.000
0.500 0.336 0.500
0.500 0.664 0.500
0.500 0.815 0.000
0.000 0.425 0.500
0.000 0.575 0.500
0.500 0.075 0.500
0.500 0.925 0.500
```


Entry 2:
Compound: In2TeS
Source: Alexandria via LeMat-Bulk
Functional: GGA-PBE
Structure: optimized geometry

Values from the calculation:
* formation energy without anion corrections: -0.24 eV/f.u.
* VASP energy: -51.94 eV for the cell shown
* V: 25.057 Å³ per atom
* energy above the lowest structure with this stoichiometry: 0.271 eV/atom

POSCAR file:
```
In2TeS
1.0
7.374 0.000 0.000
0.000 7.374 0.000
0.000 0.000 7.374
In Te S
8 4 4
Direct
0.250 0.250 0.250
0.250 0.250 0.750
0.250 0.750 0.250
0.250 0.750 0.750
0.750 0.250 0.250
0.750 0.250 0.750
0.750 0.750 0.250
0.750 0.750 0.750
0.000 0.000 0.000
0.000 0.500 0.500
0.500 0.000 0.500
0.500 0.500 0.000
0.000 0.000 0.500
0.000 0.500 0.000
0.500 0.000 0.000
0.500 0.500 0.500
```


Entry 3:
Compound: LiMgCo2
Source: Alexandria via LeMat-Bulk
Functional: GGA-PBE
Structure: optimized geometry

Values from the calculation:
* VASP energy: -62.85 eV for the cell shown
* formation energy: 2.009 eV/f.u.
* V: 13.826 Å³ per atom

POSCAR file:
```
LiMgCo2
1.0
6.746 0.000 0.000
0.000 6.746 0.000
0.000 0.000 4.861
Li Mg Co
4 4 8
Direct
0.000 0.000 0.000
0.000 0.500 0.250
0.500 0.000 0.750
0.500 0.500 0.500
0.000 0.000 0.500
0.000 0.500 0.750
0.500 0.000 0.250
0.500 0.500 0.000
0.228 0.750 0.125
0.250 0.228 0.875
0.250 0.272 0.375
0.272 0.750 0.625
0.728 0.250 0.625
0.750 0.728 0.375
0.750 0.772 0.875
0.772 0.250 0.125
```